Sr5AcTe6: optimized geometry, PBE-GGA.

The structure in extended XYZ format:
```
12
Lattice="8.2077 0.2219 0.0000 2.5243 7.8078 0.0000 1.2622 3.9039 7.1054" Properties=species:S:1:pos:R:3 pbc="T T T"
Te 2.6818 2.0063 0.0000
Sr 6.6282 7.9187 2.3708
Sr 2.5243 7.8078 4.7346
Sr 1.2622 3.9039 2.3708
Te 8.0503 6.0234 0.0000
Te 6.7857 2.1181 2.3662
Sr 5.3660 4.0148 4.7346
Sr 5.3660 4.0148 0.0000
Te 3.9463 5.9116 2.3662
Te 5.2085 9.8155 4.7392
Ac 0.0000 0.0000 0.0000
Te 8.0479 6.0220 4.7392
```

Summary:
Its space group is C2/m (12). The formation energy without anion corrections is -39.00 kcal/mol of atoms.



BaSrAg4: optimized geometry, PBE-GGA.

The structure in extended XYZ format:
```
6
Lattice="0.0000 4.2788 4.2788 4.2788 0.0000 4.2788 4.2788 4.2788 0.0000" Properties=species:S:1:pos:R:3 pbc="T T T"
Ba 6.4182 6.4182 6.4182
Ag 3.1980 5.3595 5.3595
Ag 5.3595 5.3595 3.1980
Ag 3.1980 3.1980 3.1980
Ag 5.3595 3.1980 5.3595
Sr 0.0000 0.0000 0.0000
```

Summary:
Its space group is F-43m (216). The calculation puts the energy of formation at -0.170 eV per atom.



TiZn2Au6: optimized geometry, PBE-GGA.

The structure in extended XYZ format:
```
18
Lattice="-2.0067 4.3298 0.1809 -0.2015 0.7316 8.3187 6.7432 4.1892 2.5995" Properties=species:S:1:pos:R:3 pbc="T T T"
Au 0.9187 2.5364 8.8008
Au 2.5934 4.8183 4.1837
Au 1.9416 4.4324 6.9154
Au 0.2993 1.3179 3.1556
Zn 1.6095 6.7848 8.2292
Au 2.5444 7.3970 5.6832
Au 4.2357 7.9328 7.9436
Ti -0.7516 4.4544 7.6681
Zn 0.0638 3.7057 4.4908
Zn 4.4711 5.5450 6.6083
Au 1.9906 1.8537 5.4160
Au 3.5327 4.9183 9.2584
Au 1.0023 4.3323 1.8408
Au 3.6163 6.7143 2.2983
Au -0.6411 1.9302 6.5403
Ti 5.2866 4.7963 3.4311
Zn 2.9254 2.4659 2.8700
Au 5.1761 7.3205 4.5588
```

Summary:
Its space group is C2/c (15). The calculation puts the energy of formation at -0.198 eV per atom.



SmAgOsO6: optimized geometry, PBE-GGA.

The structure in extended XYZ format:
```
9
Lattice="-3.3278 3.4452 -2.9804 -5.3618 0.7985 1.5615 1.3345 3.6476 2.7359" Properties=species:S:1:pos:R:3 pbc="T T T"
Ag -7.3530 7.8902 1.3174
Os -2.2293 3.2383 0.8951
O -4.0129 2.6529 0.6833
Sm -5.1246 4.6522 0.4223
O -2.8681 5.0067 0.7113
O -1.6411 1.4581 1.1187
O -0.4556 3.8651 1.0570
O -2.4590 3.3193 2.7673
O -1.9419 3.1291 -0.9678
```

Summary:
Its space group is C2 (5). The formation energy without anion corrections is -31.85 kcal/mol of atoms.



Zn5Ga12As3: optimized geometry, PBE-GGA.

The structure in extended XYZ format:
```
80
Lattice="13.2431 0.0000 0.0000 -4.4144 12.4857 0.0000 -4.4144 -6.2429 10.8130" Properties=species:S:1:pos:R:3 pbc="T T T"
Ga 6.2339 6.3826 1.8255
Zn -2.2072 6.2429 0.0000
Ga -0.8182 7.1451 4.3727
Ga 1.7324 4.8835 7.2320
Ga 6.6659 11.2174 0.6132
Zn 1.1036 -3.1214 8.1097
Zn 7.7251 -0.7804 6.7581
Ga 8.8730 -3.0183 6.8115
Ga 9.6469 2.9071 2.9678
Ga 0.0443 4.2866 4.6147
Ga 8.7844 1.2683 0.6132
As 7.7251 8.5839 1.3516
Ga 9.2164 6.1032 1.8255
Ga 6.6659 3.2245 4.0015
Ga 2.2515 -1.9562 6.1983
Zn 6.6216 0.0000 0.0000
As -5.5180 6.2429 8.1097
Ga -0.3877 7.7539 1.0337
Zn -1.1036 3.1214 2.7032
Ga 1.8195 -1.6508 10.0212
As 1.1036 -0.7804 4.0549
Ga 0.4748 7.6023 7.2320
Ga 5.8034 2.0048 1.4050
Ga -3.9396 5.5834 6.0197
Ga 4.3701 1.9562 6.1983
Ga -4.4587 9.2612 4.0015
Ga 8.3539 0.6595 4.7933
Ga -0.3877 4.5921 0.7918
Zn 4.4144 6.2429 0.0000
As -1.1036 5.4625 6.7581
Zn 5.5180 5.4625 4.0549
Zn 1.1036 3.9018 9.4613
Zn 0.0000 0.0000 0.0000
Ga 8.0106 -4.2380 9.4080
Ga 1.8195 1.5111 9.7792
Ga 5.8034 9.5786 2.9678
Zn 3.3108 2.3411 1.3516
Ga 3.9396 -1.3594 3.5810
Ga -4.8020 0.1397 8.9874
Zn 5.5180 3.1214 8.1097
Ga 3.0254 5.3406 4.3727
Ga -3.5962 10.4809 1.4050
Ga -1.3890 -3.3358 7.8452
Zn -1.1036 0.7804 6.7581
Ga -5.2325 3.3358 7.8452
As 9.9323 0.0000 2.7032
As 3.3108 7.0232 6.7581
Ga -1.8195 -0.1397 8.9874
Ga -1.3890 4.2380 9.4080
Ga 4.8020 -1.5111 9.7792
Zn -1.1036 10.1446 1.3516
Ga 2.6820 1.3594 3.5810
Ga 4.8892 5.5429 8.3742
Ga -0.4748 0.6999 2.4387
Ga 2.1629 8.1991 4.6147
Zn -3.3108 7.0232 4.0549
Zn 3.3108 9.3643 2.7032
Ga -1.7324 -0.6595 4.7933
Zn 4.4144 -3.1214 5.4065
As -3.3108 2.3411 9.4613
Ga -2.2515 3.0183 6.8115
As 1.1036 6.2429 2.7032
Zn -4.4144 3.1214 5.4065
Ga 2.5948 4.7318 1.0337
Ga -4.3701 4.9746 10.1997
As -3.3108 -2.3411 9.4613
As 5.5180 0.7804 4.0549
As 7.7251 3.9018 1.3516
Zn -2.2072 -3.1214 5.4065
Ga 2.5948 7.8936 0.7918
Ga 7.0964 -0.6999 2.4387
Ga -2.2515 -4.9746 10.1997
Ga 6.1467 6.9023 6.0197
Zn 2.2072 3.1214 5.4065
Ga -2.6820 6.9428 8.3742
Zn 5.5180 -3.9018 9.4613
Ga 4.8020 1.6508 10.0212
Ga 1.3890 0.9023 6.4402
Ga 5.2325 -0.9023 6.4402
As 3.3108 0.0000 8.1097
```

Summary:
Its space group is Ia-3d (230). The calculation puts the energy of formation at 0.133 eV per atom.



Tb3SbTe6: optimized geometry, PBE-GGA.

The structure in extended XYZ format:
```
20
Lattice="-5.9944 -0.3216 4.5833 -0.9472 -9.3681 -1.8962 5.8301 0.1023 7.6323" Properties=species:S:1:pos:R:3 pbc="T T T"
Tb 0.4068 -8.6891 5.9818
Te -0.5278 -6.0438 7.2720
Te 4.3033 -0.0183 8.7373
Te -2.5535 -8.6344 4.8786
Te 3.5922 -4.0741 7.0135
Te 1.9619 -6.5922 4.2668
Sb -2.7466 -7.8482 2.0907
Tb -4.3580 -1.0507 6.5089
Te -4.2121 -5.4869 2.9301
Te -5.4137 -9.5690 1.5814
Te -2.1601 -2.9463 5.3544
Tb 0.8274 -3.8928 5.4375
Sb 4.6220 -1.5790 5.9450
Tb -1.2413 -6.9648 10.1701
Te 0.5016 -2.3234 8.2501
Te -0.0937 -7.1825 0.9076
Tb -3.4002 -5.7730 5.9993
Tb -2.7099 -2.7749 2.3206
Te 1.9335 -0.9266 5.0650
Te 0.3295 -3.4947 2.3492
```

Summary:
Its space group is Cmc2_1 (36). The formation energy without anion corrections is -23.35 kcal/mol of atoms.